Er5Os: relaxed, PBE.

Output
Final energy in eV per cell: -67.90

Cell lengths 3.8156, 16.2047, 5.2920 Å; angles 90.00, 90.00, 90.00 degrees
Space group Cmmm (No. 65)
Inequivalent atoms, fractional coordinates:
Er (0.0000, 0.0000, 0.0000) [2 per cell]
Er (0.0000, 0.1268, 0.5000) [4 per cell]
Er (0.0000, 0.3333, 0.0000) [4 per cell]
Os (0.0000, 0.5000, 0.5000) [2 per cell]